1.
The following is a PBE calculation of an optimized crystal structure of Ho4Zn3Cu, from the Alexandria database.

Geometry as CIF:
```
data_Ho4Zn3Cu
_space_group_name_H-M_alt 'P 1'
_space_group_IT_number 1
_space_group_name_Hall 'P 1'
_cell_length_a 3.5219
_cell_length_b 3.5219
_cell_length_c 14.1618
_cell_angle_alpha 90.00
_cell_angle_beta 90.00
_cell_angle_gamma 90.00
loop_
_atom_site_label
_atom_site_fract_x
_atom_site_fract_y
_atom_site_fract_z
_atom_site_occupancy
Ho1 0.0000 0.0000 0.6266 1
Ho2 0.0000 0.0000 0.1199 1
Zn1 0.5000 0.5000 0.5000 1
Zn2 0.5000 0.5000 0.7516 1
Ho3 0.0000 0.0000 0.3734 1
Ho4 0.0000 0.0000 0.8801 1
Zn3 0.5000 0.5000 0.2484 1
Cu1 0.5000 0.5000 0.0000 1
```

As for the total DFT energy (no corrections): -28.8 eV/f.u. The value obtained for the relative energy among the computed polymorphs is 0.00 eV per formula unit. For the formation enthalpy at 0 K, the calculation gives -2.59 eV/f.u. As for the space group: P4/mmm (123). The density of states at the Fermi level is 6.57 states/eV per cell.

=====

2.
The following is a PBE calculation of an optimized crystal structure of Ac2Zn3In4Ag, from the Alexandria database.

Geometry as CIF:
```
data_Ac2Zn3In4Ag
_space_group_name_H-M_alt 'P 1'
_space_group_IT_number 1
_space_group_name_Hall 'P 1'
_cell_length_a 4.6827
_cell_length_b 4.6827
_cell_length_c 11.3712
_cell_angle_alpha 90.00
_cell_angle_beta 90.00
_cell_angle_gamma 90.00
loop_
_atom_site_label
_atom_site_fract_x
_atom_site_fract_y
_atom_site_fract_z
_atom_site_occupancy
In1 0.0000 0.5000 0.3702 1
In2 0.5000 0.0000 0.6298 1
Ac1 0.0000 0.5000 0.7462 1
Ag1 0.5000 0.5000 0.5000 1
Zn1 0.0000 0.0000 0.5000 1
Ac2 0.5000 0.0000 0.2538 1
In3 0.0000 0.0000 0.0000 1
In4 0.5000 0.5000 0.0000 1
Zn2 0.5000 0.0000 0.8627 1
Zn3 0.0000 0.5000 0.1373 1
```

As for the total DFT energy (no corrections): -29.4 eV/f.u. For the formation enthalpy at 0 K, the calculation gives -3.53 eV/f.u. As for the space group: P-4m2 (115). The density of states at the Fermi level is 3.69 states/eV per cell.

=====

Question: Number 2 is which compound?
Answer: Ac2Zn3In4Ag